1.
Below is CsInSbSe3 after structural relaxation, with properties calculated at the PBE level.

Summary:
The space group is P2_1/m, No. 11.

Lattice parameters (Å, degrees): 9.295 4.818 10.630 90.00 106.76 90.00
Element x y z (fractional)
Cs 0.194 0.250 0.223
Cs 0.806 0.750 0.777
In 0.118 0.250 0.602
In 0.882 0.750 0.398
Sb 0.341 0.750 0.876
Sb 0.659 0.250 0.124
Se 0.146 0.250 0.860
Se 0.194 0.750 0.522
Se 0.446 0.750 0.129
Se 0.554 0.250 0.871
Se 0.806 0.250 0.478
Se 0.854 0.750 0.140


2.
Below is CsInSnSb after structural relaxation, with properties calculated at the PBE level.

Summary:
The space group is P4/nmm, No. 129.

Lattice parameters (Å, degrees): 4.753 4.753 14.806 90.00 90.00 90.00
Element x y z (fractional)
Cs 0.250 0.250 0.227
Cs 0.750 0.750 0.773
In 0.250 0.750 0.500
In 0.750 0.250 0.500
Sn 0.250 0.750 0.000
Sn 0.750 0.250 0.000
Sb 0.250 0.250 0.620
Sb 0.750 0.750 0.380


Listing uncorrected formation energy for the structures above in their given order: -576 -123 meV/atom.
Listing V for the structures above in their given order: 455.84 334.49 Å³ per cell.
Listing uncorrected energy for the structures above in their given order: -43.25 -24.42 eV per cell.